Record 1
The following is a DFT calculation (PBE-GGA) of an optimized crystal structure of Hg2As2Rh.

a = 7.3182 Å, b = 7.3182 Å, c = 3.8210 Å
α = 90.00°, β = 90.00°, γ = 90.00°
Last column: nearest neighbours and their distance in Å.
Fractional positions:
As: 0.1720 0.6720 0.5000  6 Hg 2.73-2.99
As: 0.6720 0.8280 0.5000  6 Hg 2.73-2.99
As: 0.8280 0.3280 0.5000  6 Hg 2.73-2.99
As: 0.3280 0.1720 0.5000  6 Hg 2.73-2.99
Rh: 0.0000 0.0000 0.0000  4 Hg 2.83
Rh: 0.5000 0.5000 0.0000  4 Hg 2.83
Hg: 0.3598 0.8598 0.0000  6 As 2.73-2.99, 2 Rh 2.83, 1 Hg 2.90
Hg: 0.8598 0.6402 0.0000  6 As 2.73-2.99, 2 Rh 2.83, 1 Hg 2.90
Hg: 0.6402 0.1402 0.0000  6 As 2.73-2.99, 2 Rh 2.83, 1 Hg 2.90
Hg: 0.1402 0.3598 0.0000  6 As 2.73-2.99, 2 Rh 2.83, 1 Hg 2.90

Summary:
Density in Mg/m³: 10.6
D(E_F) in states/eV/f.u.: 3.83
Excess energy over the best structure of this formula in the dataset in meV per atom: 598.2
Symmetry: P4/mbm
Crystal system: tetragonal
E_tot in eV per atom: -2.91
Formation energy in kJ/mol of atoms: 52


Record 2
The following is a DFT calculation (PBE-GGA) of an optimized crystal structure of Hg2AsRh.

a = 6.5840 Å, b = 6.5840 Å, c = 4.7367 Å
α = 69.12°, β = 69.12°, γ = 26.54°
Last column: nearest neighbours and their distance in Å.
Fractional positions:
As: 0.8197 0.8197 0.6796  2 Rh 2.44
Rh: 0.4804 0.4804 0.5193  2 As 2.44
Hg: 0.0088 0.0088 0.9913  4 Rh 2.83, 2 Hg 3.02
Hg: 0.1912 0.1912 0.3098  2 Rh 2.93, 4 Hg 3.02-3.22, 4 As 3.19-3.21

Summary:
Density in Mg/m³: 11.3
D(E_F) in states/eV/f.u.: 3.06
Symmetry: Cm
Crystal system: monoclinic
E_tot in eV per atom: -3.13
Formation energy in kJ/mol of atoms: 2


Record 3
The following is a DFT calculation (PBE-GGA) of an optimized crystal structure of Hg2As2Rh.

a = 3.5477 Å, b = 3.5477 Å, c = 8.9149 Å
α = 78.52°, β = 78.52°, γ = 90.00°
Last column: nearest neighbours and their distance in Å.
Fractional positions:
As: 0.7500 0.2500 0.5000  4 As 2.51
As: 0.2500 0.7500 0.5000  4 As 2.51
Rh: 0.0000 0.0000 0.0000  8 Hg 2.92
Hg: 0.4124 0.4124 0.1753  4 Rh 2.92, 1 Hg 3.00
Hg: 0.5876 0.5876 0.8247  4 Rh 2.92, 1 Hg 3.00

Summary:
Density in Mg/m³: 10.1
D(E_F) in states/eV/f.u.: 3.03
Excess energy over the best structure of this formula in the dataset in meV per atom: 464.2
Symmetry: I4/mmm
Crystal system: tetragonal
E_tot in eV per atom: -3.05
Formation energy in kJ/mol of atoms: 39


Record 4
The following is a DFT calculation (PBE-GGA) of an optimized crystal structure of Hg2AsRh.

a = 5.3835 Å, b = 5.3835 Å, c = 5.3835 Å
α = 138.59°, β = 131.77°, γ = 65.41°
Last column: nearest neighbours and their distance in Å.
Fractional positions:
As: 0.7500 0.2500 0.5000  4 Rh 2.91, 8 Hg 2.99-3.13
Rh: 0.2500 0.7500 0.5000  4 As 2.91, 8 Hg 2.92-3.19
Hg: 0.0049 0.0049 0.0000  4 Hg 2.91, 4 Rh 2.92-3.19, 4 As 2.99-3.13
Hg: 0.4951 0.4951 0.0000  4 Hg 2.91, 4 Rh 2.92-3.19, 4 As 2.99-3.13

Summary:
Density in Mg/m³: 12.7
D(E_F) in states/eV/f.u.: 2.87
Symmetry: Immm
Crystal system: orthorhombic
E_tot in eV per atom: -2.86
Formation energy in kJ/mol of atoms: 28


Record 5
The following is a DFT calculation (PBE-GGA) of an optimized crystal structure of HgAsRh2.

a = 4.5601 Å, b = 4.5611 Å, c = 3.1538 Å
α = 90.00°, β = 90.00°, γ = 90.00°
Last column: nearest neighbours and their distance in Å.
Fractional positions:
As: 0.5000 0.0000 0.5000  8 Rh 2.77
Rh: 0.0000 0.0000 0.0000  4 As 2.77, 4 Hg 2.77
Rh: 0.5000 0.5000 0.0000  4 Hg 2.77, 4 As 2.77
Hg: 0.0000 0.5000 0.5000  8 Rh 2.77

Summary:
Density in Mg/m³: 12.2
D(E_F) in states/eV/f.u.: 4.73
Symmetry: P4/mmm
Crystal system: tetragonal
E_tot in eV per atom: -4.83
Formation energy in kJ/mol of atoms: 8


Record 6
The following is a DFT calculation (PBE-GGA) of an optimized crystal structure of HgAs2Rh.

a = 6.4947 Å, b = 6.4947 Å, c = 4.6323 Å
α = 73.47°, β = 73.47°, γ = 26.99°
Last column: nearest neighbours and their distance in Å.
Fractional positions:
As: 0.9105 0.9105 0.0144  2 Rh 2.49, 1 As 2.51
As: 0.7562 0.7562 0.7762  2 Rh 2.50, 1 As 2.51
Rh: 0.2685 0.2685 0.3378  4 As 2.49-2.50
Hg: 0.5648 0.5648 0.3717  2 Rh 2.95, 2 Hg 3.03, 3 As 3.09-3.27

Summary:
Density in Mg/m³: 8.9
D(E_F) in states/eV/f.u.: 1.59
Symmetry: Cm
Crystal system: monoclinic
E_tot in eV per atom: -4.24
Formation energy in kJ/mol of atoms: 0


Record 7
The following is a DFT calculation (PBE-GGA) of an optimized crystal structure of Hg2AsRh.

a = 3.0281 Å, b = 3.0281 Å, c = 8.6807 Å
α = 90.00°, β = 90.00°, γ = 90.00°
Last column: nearest neighbours and their distance in Å.
Fractional positions:
As: 0.5000 0.5000 0.7500  4 As 3.03, 8 Hg 3.26
Rh: 0.5000 0.5000 0.2500  8 Hg 2.85, 4 Rh 3.03
Hg: 0.0000 0.0000 0.0332  4 Rh 2.85, 4 Hg 3.03
Hg: 0.0000 0.0000 0.4668  4 Rh 2.85, 4 Hg 3.03

Summary:
Density in Mg/m³: 12.1
D(E_F) in states/eV/f.u.: 3.40
Symmetry: P4/mmm
Crystal system: tetragonal
E_tot in eV per atom: -2.84
Formation energy in kJ/mol of atoms: 30


Record 8
The following is a DFT calculation (PBE-GGA) of an optimized crystal structure of HgAs2Rh2.

a = 7.4873 Å, b = 7.4873 Å, c = 3.1381 Å
α = 90.00°, β = 90.00°, γ = 90.00°
Last column: nearest neighbours and their distance in Å.
Fractional positions:
As: 0.1396 0.6396 0.5000  6 Rh 2.59-2.85
As: 0.6396 0.8604 0.5000  6 Rh 2.59-2.85
As: 0.8604 0.3604 0.5000  6 Rh 2.59-2.85
As: 0.3604 0.1396 0.5000  6 Rh 2.59-2.85
Rh: 0.3642 0.8642 0.0000  6 As 2.59-2.85, 1 Rh 2.88
Rh: 0.8642 0.6358 0.0000  6 As 2.59-2.85, 1 Rh 2.88
Rh: 0.6358 0.1358 0.0000  6 As 2.59-2.85, 1 Rh 2.88
Rh: 0.1358 0.3642 0.0000  6 As 2.59-2.85, 1 Rh 2.88
Hg: 0.0000 0.0000 0.0000  4 Rh 2.91, 2 Hg 3.14
Hg: 0.5000 0.5000 0.0000  4 Rh 2.91, 2 Hg 3.14

Summary:
Density in Mg/m³: 10.5
D(E_F) in states/eV/f.u.: 3.79
Excess energy over the best structure of this formula in the dataset in meV per atom: 0.0
Symmetry: P4/mbm
Crystal system: tetragonal
E_tot in eV per atom: -4.98
Formation energy in kJ/mol of atoms: -11


Record 9
The following is a DFT calculation (PBE-GGA) of an optimized crystal structure of HgAsRh2.

a = 8.0702 Å, b = 8.0702 Å, c = 8.0702 Å
α = 22.53°, β = 22.53°, γ = 22.53°
Last column: nearest neighbours and their distance in Å.
Fractional positions:
As: 0.2500 0.2500 0.2500  6 Rh 2.47
Rh: 0.9874 0.9874 0.9874  3 As 2.47
Rh: 0.5126 0.5126 0.5126  3 As 2.47
Hg: 0.7500 0.7500 0.7500  6 Rh 2.90, 6 Hg 3.15

Summary:
Density in Mg/m³: 11.8
D(E_F) in states/eV/f.u.: 3.54
Symmetry: R-3m
Crystal system: trigonal
E_tot in eV per atom: -5.04
Formation energy in kJ/mol of atoms: -12


Record 10
The following is a DFT calculation (PBE-GGA) of an optimized crystal structure of HgAs2Rh.

a = 3.8477 Å, b = 4.9011 Å, c = 5.3098 Å
α = 63.04°, β = 90.00°, γ = 90.00°
Last column: nearest neighbours and their distance in Å.
Fractional positions:
As: 0.0000 0.9680 0.8847  2 Rh 2.46, 1 As 2.47
As: 0.0000 0.5320 0.6153  2 Rh 2.46, 1 As 2.47
Rh: 0.5000 0.7500 0.7500  4 As 2.46, 2 Hg 2.67
Hg: 0.5000 0.2500 0.2500  2 Rh 2.67

Summary:
Density in Mg/m³: 8.4
D(E_F) in states/eV/f.u.: 1.81
Symmetry: P2/m
Crystal system: monoclinic
E_tot in eV per atom: -4.26
Formation energy in kJ/mol of atoms: -3


Record 11
The following is a DFT calculation (PBE-GGA) of an optimized crystal structure of Hg2AsRh.

a = 9.2653 Å, b = 9.2653 Å, c = 9.2653 Å
α = 20.65°, β = 20.65°, γ = 20.65°
Last column: nearest neighbours and their distance in Å.
Fractional positions:
As: 0.7699 0.7699 0.7699  3 Rh 2.41
Rh: 0.4900 0.4900 0.4900  3 As 2.41
Hg: 0.0033 0.0033 0.0033  9 Hg 3.32, 3 As 3.33
Hg: 0.2368 0.2368 0.2368  3 Rh 2.90

Summary:
Density in Mg/m³: 11.1
D(E_F) in states/eV/f.u.: 0.27
Symmetry: R3m
Crystal system: trigonal
E_tot in eV per atom: -3.27
Formation energy in kJ/mol of atoms: -12


Record 12
The following is a DFT calculation (PBE-GGA) of an optimized crystal structure of HgAs2Rh.

a = 4.7115 Å, b = 4.7115 Å, c = 4.7115 Å
α = 60.00°, β = 60.00°, γ = 60.00°
Last column: nearest neighbours and their distance in Å.
Fractional positions:
As: 0.0000 0.0000 0.0000  4 Rh 2.89, 4 As 2.89
As: 0.2500 0.2500 0.2500  4 As 2.89, 4 Hg 2.89
Rh: 0.7500 0.7500 0.7500  4 Hg 2.89, 4 As 2.89
Hg: 0.5000 0.5000 0.5000  4 As 2.89, 4 Rh 2.89

Summary:
Density in Mg/m³: 10.2
D(E_F) in states/eV/f.u.: 3.74
Symmetry: F-43m
Crystal system: cubic
E_tot in eV per atom: -3.86
Formation energy in kJ/mol of atoms: 37


no.,M_tot (μB per formula unit)
1,0.0
2,0.0
3,0.0
4,0.0
5,0.0
6,0.0
7,0.0
8,0.0
9,0.0
10,0.0
11,0.0
12,0.0